# InGeN2 (GGA-PBE, optimized geometry)
# Energy relative to the elements, uncorrected ... 2.34 eV/f.u.
# Crystal system ... trigonal
data_InGeN2
_chemical_formula_sum 'In3 Ge3 N6'
_cell_length_a 3.455
_cell_length_b 3.455
_cell_length_c 17.470
_cell_angle_alpha 90.00
_cell_angle_beta 90.00
_cell_angle_gamma 120.00
_space_group_name_H-M_alt 'P 1'
_space_group_IT_number 1
_space_group_name_Hall 'P 1'
loop_
_atom_site_label
_atom_site_type_symbol
_atom_site_fract_x
_atom_site_fract_y
_atom_site_fract_z
_atom_site_occupancy
In1 In 0.000 0.000 0.000 1
In2 In 0.333 0.667 0.667 1
In3 In 0.667 0.333 0.333 1
Ge1 Ge 0.000 0.000 0.500 1
Ge2 Ge 0.333 0.667 0.167 1
Ge3 Ge 0.667 0.333 0.833 1
N1 N 0.000 0.000 0.398 1
N2 N 0.000 0.000 0.602 1
N3 N 0.333 0.667 0.064 1
N4 N 0.333 0.667 0.269 1
N5 N 0.667 0.333 0.731 1
N6 N 0.667 0.333 0.936 1

=====

# In3GeN (GGA-PBE, optimized geometry)
# Energy relative to the elements, uncorrected ... 6.94 eV/f.u.
# Crystal system ... cubic
data_In3GeN
_chemical_formula_sum 'In3 Ge1 N1'
_cell_length_a 5.245
_cell_length_b 5.245
_cell_length_c 5.245
_cell_angle_alpha 90.00
_cell_angle_beta 90.00
_cell_angle_gamma 90.00
_space_group_name_H-M_alt 'P 1'
_space_group_IT_number 1
_space_group_name_Hall 'P 1'
loop_
_atom_site_label
_atom_site_type_symbol
_atom_site_fract_x
_atom_site_fract_y
_atom_site_fract_z
_atom_site_occupancy
In1 In 0.000 0.000 0.500 1
In2 In 0.000 0.500 0.000 1
In3 In 0.500 0.000 0.000 1
Ge1 Ge 0.000 0.000 0.000 1
N1 N 0.500 0.500 0.500 1

=====

# In5Ge2N6 (GGA-PBE, optimized geometry)
# Energy relative to the elements, uncorrected ... 4.85 eV/f.u.
# Crystal system ... monoclinic
data_In5Ge2N6
_chemical_formula_sum 'In10 Ge4 N12'
_cell_length_a 6.136
_cell_length_b 6.136
_cell_length_c 13.099
_cell_angle_alpha 93.40
_cell_angle_beta 93.40
_cell_angle_gamma 60.26
_space_group_name_H-M_alt 'P 1'
_space_group_IT_number 1
_space_group_name_Hall 'P 1'
loop_
_atom_site_label
_atom_site_type_symbol
_atom_site_fract_x
_atom_site_fract_y
_atom_site_fract_z
_atom_site_occupancy
In1 In 0.046 0.954 0.750 1
In2 In 0.087 0.771 0.050 1
In3 In 0.229 0.913 0.450 1
In4 In 0.328 0.381 0.304 1
In5 In 0.381 0.328 0.804 1
In6 In 0.619 0.672 0.196 1
In7 In 0.672 0.619 0.696 1
In8 In 0.771 0.087 0.550 1
In9 In 0.913 0.229 0.950 1
In10 In 0.954 0.046 0.250 1
Ge1 Ge 0.161 0.447 0.588 1
Ge2 Ge 0.447 0.161 0.088 1
Ge3 Ge 0.553 0.839 0.912 1
Ge4 Ge 0.839 0.553 0.412 1
N1 N 0.075 0.347 0.703 1
N2 N 0.191 0.292 0.454 1
N3 N 0.292 0.191 0.954 1
N4 N 0.347 0.075 0.203 1
N5 N 0.415 0.476 0.130 1
N6 N 0.476 0.415 0.630 1
N7 N 0.524 0.585 0.370 1
N8 N 0.585 0.524 0.870 1
N9 N 0.653 0.925 0.797 1
N10 N 0.708 0.809 0.046 1
N11 N 0.809 0.708 0.546 1
N12 N 0.925 0.653 0.297 1